# 1
The following is a DFT calculation (GGA-PBE) of a geometry-optimized Pr2Y4Te3N2 structure.

Output
spin magnetization: 0.0 μB/f.u.
ΔE_f (raw): -27.88 kcal/mol of atoms
density of states at the Fermi level: 6.39 states/eV/f.u.

a = 4.6313 Å, b = 4.6313 Å, c = 26.0045 Å
α = 90.00°, β = 90.00°, γ = 90.00°
Closest atoms and distances in Å follow each position.
Space group I4/mmm (No. 139)
One atom of each set of equivalent atoms:
Pr  0.0000  0.0000  0.1963 (multiplicity 4)  1 N 2.51
Y  0.0000  0.5000  0.0849 (multiplicity 8)  2 N 2.35
Te  0.0000  0.0000  0.3255 (multiplicity 4)  4 Y 3.28, 5 Pr 3.32-3.36
Te  0.0000  0.0000  0.5000 (multiplicity 2)  8 Y 3.20
N  0.0000  0.0000  0.0997 (multiplicity 4)  4 Y 2.35, 1 Pr 2.51

# 2
The following is a DFT calculation (GGA-PBE) of a geometry-optimized CeSm10Dy6 structure.

Output
spin magnetization: 0.8 μB/f.u.
density of states at the Fermi level: 27.00 states/eV/f.u.
energy of formation: 0.15 eV/atom

a = 9.7680 Å, b = 9.7680 Å, c = 6.8794 Å
α = 90.00°, β = 90.00°, γ = 120.00°
Closest atoms and distances in Å follow each position.
Space group P-31m (No. 162)
One atom of each set of equivalent atoms:
Ce  0.0000  0.0000  0.0000 (multiplicity 1)  6 Sm 3.43
Sm  0.0000  0.2729  0.6857 (multiplicity 6)  5 Dy 3.38-3.65, 1 Ce 3.43, 2 Sm 3.69
Sm  0.3333  0.6667  0.0000 (multiplicity 2)  6 Dy 3.36, 2 Sm 3.44
Sm  0.3333  0.6667  0.5000 (multiplicity 2)  8 Sm 3.44-3.81, 6 Dy 3.72
Dy  0.0000  0.3744  0.1960 (multiplicity 6)  9 Sm 3.36-3.72, 1 Dy 3.65